DyPaRuAu | PBE | relaxed

Calculated total energy (eV per atom): -7.029

Geometry as CIF:
```
data_DyPaRuAu
_symmetry_space_group_name_H-M 'P 1'
_symmetry_Int_Tables_number 1
_symmetry_space_group_name_Hall 'P 1'
_cell_length_a 4.969
_cell_length_b 4.969
_cell_length_c 4.969
_cell_angle_alpha 60.00
_cell_angle_beta 60.00
_cell_angle_gamma 60.00
loop_
_atom_site_label
_atom_site_fract_x
_atom_site_fract_y
_atom_site_fract_z
Dy1 0.000 0.000 0.000
Pa1 0.500 0.500 0.500
Ru1 0.750 0.750 0.750
Au1 0.250 0.250 0.250
```